[1]
The following is a DFT calculation (PBE) of SrCrP2Ir after structural relaxation.

Cell and atoms, written as POSCAR:
```
SrCrP2Ir
1.0
-1.983 1.983 5.942
1.983 -1.983 5.942
1.983 1.983 -5.942
Sr Cr P Ir
1 1 2 1
direct
0.000 0.000 0.000
0.750 0.250 0.500
0.357 0.357 0.000
0.643 0.643 0.000
0.250 0.750 0.500
```

Values from the calculation:
Its density of states at the Fermi level is 0.4210 states/eV/atom. For the density, the calculation gives 7.0 g cm⁻³. As for the symmetry: I-4m2 (119). As for the calculated formation energy: -795 meV/atom. The total magnetization is 1.87 μB/f.u. The crystal system is tetragonal. The value obtained for the electronic total energy is -34.961 eV/cell.

***

[2]
The following is a DFT calculation (PBE) of Th2CrP3Ir12 after structural relaxation.

Cell and atoms, written as POSCAR:
```
Th2CrP3Ir12
1.0
4.051 2.339 5.867
-4.051 2.339 5.867
0.000 -4.678 5.867
Th Cr P Ir
2 1 3 12
direct
0.108 0.108 0.108
0.892 0.892 0.892
0.500 0.500 0.500
0.000 0.500 0.500
0.500 0.000 0.500
0.500 0.500 0.000
0.129 0.631 0.631
0.152 0.152 0.597
0.152 0.597 0.152
0.369 0.369 0.871
0.369 0.871 0.369
0.403 0.847 0.848
0.597 0.152 0.153
0.631 0.129 0.631
0.631 0.631 0.129
0.847 0.403 0.847
0.847 0.848 0.403
0.871 0.369 0.369
```

Values from the calculation:
Its density of states at the Fermi level is 0.8306 states/eV/atom. For the density, the calculation gives 14.5 g cm⁻³. As for the symmetry: R-3m (166). As for the calculated formation energy: -38 meV/atom. The total magnetization is 2.03 μB/f.u. The crystal system is trigonal. The value obtained for the electronic total energy is -147.715 eV/cell.

***

[3]
The following is a DFT calculation (PBE) of ZrCrPIr2 after structural relaxation.

Cell and atoms, written as POSCAR:
```
ZrCrPIr2
1.0
4.845 0.000 0.000
0.000 4.845 0.000
0.000 0.000 4.840
Zr Cr P Ir
1 1 1 2
direct
0.000 0.000 0.000
0.500 0.500 0.500
0.000 0.000 0.500
0.000 0.500 0.000
0.500 0.000 0.000
```

Values from the calculation:
Its density of states at the Fermi level is 1.7865 states/eV/atom. For the density, the calculation gives 8.2 g cm⁻³. As for the symmetry: P4/mmm (123). The distance to the lowest polymorph of the same formula is 9.07 eV/f.u. As for the calculated formation energy: 1769 meV/atom. The total magnetization is 0.03 μB/f.u. The crystal system is tetragonal. The value obtained for the electronic total energy is -32.460 eV/cell.

***

[4]
The following is a DFT calculation (PBE) of ZrCrPIr2 after structural relaxation.

Cell and atoms, written as POSCAR:
```
ZrCrPIr2
1.0
4.442 0.000 0.000
0.000 4.442 0.000
0.000 0.000 4.230
Zr Cr P Ir
1 1 1 2
direct
0.000 0.000 0.000
0.500 0.500 0.000
0.500 0.500 0.500
0.000 0.500 0.500
0.500 0.000 0.500
```

Values from the calculation:
Its density of states at the Fermi level is 0.5860 states/eV/atom. For the density, the calculation gives 11.1 g cm⁻³. As for the symmetry: P4/mmm (123). The distance to the lowest polymorph of the same formula is 0.00 eV/f.u. As for the calculated formation energy: -45 meV/atom. The total magnetization is 0.92 μB/f.u. The crystal system is tetragonal. The value obtained for the electronic total energy is -41.531 eV/cell.

***

[5]
The following is a DFT calculation (PBE) of PaCrIr2 after structural relaxation.

Cell and atoms, written as POSCAR:
```
PaCrIr2
1.0
4.137 0.000 0.000
0.000 4.137 0.000
0.000 0.000 3.979
Pa Cr Ir
1 1 2
direct
0.000 0.000 0.000
0.500 0.500 0.000
0.000 0.500 0.500
0.500 0.000 0.500
```

Values from the calculation:
Its density of states at the Fermi level is 0.9264 states/eV/atom. For the density, the calculation gives 16.3 g cm⁻³. As for the symmetry: P4/mmm (123). As for the calculated formation energy: -498 meV/atom. The total magnetization is 2.79 μB/f.u. The crystal system is tetragonal. The value obtained for the electronic total energy is -38.833 eV/cell.

***

[6]
The following is a DFT calculation (PBE) of Pa2CrIr after structural relaxation.

Cell and atoms, written as POSCAR:
```
Pa2CrIr
1.0
1.524 0.880 9.552
-1.524 0.880 9.552
0.000 -1.760 9.552
Pa Cr Ir
2 1 1
direct
0.082 0.082 0.082
0.918 0.918 0.918
0.000 0.000 0.000
0.500 0.500 0.500
```

Values from the calculation:
Its density of states at the Fermi level is 1.2757 states/eV/atom. For the density, the calculation gives 15.3 g cm⁻³. As for the symmetry: R-3m (166). As for the calculated formation energy: 274 meV/atom. The total magnetization is 0.00 μB/f.u. The crystal system is trigonal. The value obtained for the electronic total energy is -36.380 eV/cell.

***

Which of these has the highest calculated formation energy? number 3

***

Number 4 is which compound? ZrCrPIr2

***

Which formula does entry 5 have? PaCrIr2

***

Which of these has the highest electronic total energy? number 3